Entry 1:
8
Lattice="5.1098 0.0000 0.0000 0.0000 6.6222 0.1760 0.0000 -2.7741 6.0157" Properties=species:S:1:pos:R:3 comment="CaSnHg6 (PBE-GGA, optimized geometry)" final_energy_ev_per_fu=-9.1 formation_enthalpy_0k_ev_per_atom=-0.16 polymorph_energy_ev_per_atom=0.009 magmom_total_mub_per_fu=0.00 pbc="T T T"
Ca 2.5549 0.8626 3.7555
Sn 0.0000 -1.5882 5.2786
Hg 0.0000 -0.5289 2.2591
Hg 0.0000 1.5883 5.6657
Hg 0.0000 2.6323 2.6557
Hg 2.5549 2.4388 0.8058
Hg 2.5549 4.2053 3.6482
Hg 2.5549 5.7792 0.6999

***

Entry 2:
8
Lattice="3.8518 0.0000 0.0000 0.0000 8.0763 0.0000 -1.9259 -4.0382 7.4055" Properties=species:S:1:pos:R:3 comment="Ca3SnHg4 (PBE-GGA, optimized geometry)" final_energy_ev_per_fu=-14.4 formation_enthalpy_0k_ev_per_atom=-0.40 polymorph_energy_ev_per_atom=0.075 magmom_total_mub_per_fu=0.00 pbc="T T T"
Ca 0.0000 0.0000 2.6371
Ca 1.9259 4.0382 4.7684
Ca 0.0000 4.0382 0.0000
Sn 1.9259 0.0000 0.0000
Hg 0.0000 1.5584 5.3172
Hg 1.9259 2.4797 2.0883
Hg 1.9259 5.5966 2.0883
Hg 0.0000 -1.5584 5.3172

***

Entry 3:
4
Lattice="3.7857 0.0000 0.0000 0.0000 5.4464 0.0000 0.0000 0.0000 5.4464" Properties=species:S:1:pos:R:3 comment="Ca2SnHg (PBE-GGA, optimized geometry)" final_energy_ev_per_fu=-10.8 formation_enthalpy_0k_ev_per_atom=-0.63 polymorph_energy_ev_per_atom=0.036 magmom_total_mub_per_fu=0.00 pbc="T T T"
Ca 0.0000 0.0000 2.7232
Ca 0.0000 2.7232 0.0000
Hg 1.8928 2.7232 2.7232
Sn 1.8928 0.0000 0.0000